Crystalline LaUSe3 at its relaxed geometry, computed with PBE.

Structure (POSCAR):
```
LaUSe3
1.0
4.2012 0.0000 0.0000
0.0000 7.8177 0.0000
0.0000 0.0000 16.2309
La U Se
4 4 12
direct
0.7500 0.8793 0.7972
0.2500 0.1207 0.2028
0.7500 0.3793 0.7028
0.2500 0.6207 0.2972
0.2500 0.2668 0.9601
0.2500 0.7668 0.5399
0.7500 0.2332 0.4601
0.7500 0.7332 0.0399
0.2500 0.3753 0.5641
0.7500 0.8361 0.2165
0.7500 0.4920 0.8976
0.7500 0.9920 0.6024
0.7500 0.6247 0.4359
0.2500 0.0080 0.3976
0.2500 0.8753 0.9359
0.7500 0.3361 0.2835
0.2500 0.6639 0.7165
0.2500 0.1639 0.7835
0.7500 0.1247 0.0641
0.2500 0.5080 0.1024
```

## Properties
* total moment: 11.39 μB/cell
* ΔE_f (raw): -1.590 eV per atom